Below is a geometry-optimized MgAsIr2 structure, with properties calculated at the GGA-PBE level.

Unit cell a=3.792 b=3.792 c=8.469 alpha=90.00 beta=90.00 gamma=90.00
Space group I-4m2 (No. 119)
One atom of each set of equivalent atoms:
1 Mg 0.000 0.000 0.000 (multiplicity 2)
2 As 0.000 0.500 0.750 (multiplicity 2)
3 Ir 0.000 0.000 0.500 (multiplicity 2)
4 Ir 0.000 0.500 0.250 (multiplicity 2)

For the magnetization, the calculation gives 0.0 μB per cell. The value obtained for the offset from the most stable computed form is 0.155 eV per atom.